This record from the Alexandria database describes a relaxed FeCO2F crystal. The functional is PBE+U.

```
FeCO2F
1.0
3.4384 0.0000 0.0000
0.0000 3.4384 0.0000
0.0000 0.0000 3.7408
Fe C O F
1 1 2 1
Direct
0.0000 0.0000 0.0000
0.5000 0.5000 0.5000
0.0000 0.5000 0.5000
0.5000 0.0000 0.5000
0.5000 0.5000 0.0000
```

* final energy: -5.157 eV/atom